A plane-wave DFT calculation with PBE was carried out for an optimized crystal structure of Al3CdC. Values from VASP.

## Properties
SG: Pm-3m (221)
Final energy in Ry per atom: -0.2842

Cell and atoms, written as Quantum ESPRESSO input:
```
&SYSTEM
  ibrav = 0, nat = 5, ntyp = 3
/
ATOMIC_SPECIES
Al 26.98 Al.upf
Cd 112.41 Cd.upf
C 12.01 C.upf
CELL_PARAMETERS angstrom
4.208 0.000 0.000
0.000 4.208 0.000
0.000 0.000 4.208
ATOMIC_POSITIONS angstrom
Al 0.000 0.000 2.104
Al 0.000 2.104 0.000
Al 2.104 0.000 0.000
Cd 2.104 2.104 2.104
C 0.000 0.000 0.000
```